1:
## Tb3Pr4Nd4 (PBE)

Data for a relaxed Tb3Pr4Nd4 crystal.

## Properties
Symmetry: Amm2, No. 38
V: 387.3 Å³/f.u.

Unit cell a=5.814 b=6.783 c=10.871 alpha=90.00 beta=90.00 gamma=115.38
Atoms (fractional coordinates):
Tb 0.408 0.816 0.293
Tb 0.408 0.816 0.707
Tb 0.254 0.507 0.000
Pr 0.754 0.509 0.796
Pr 0.754 0.509 0.204
Pr 0.891 0.781 0.500
Pr 0.958 0.915 0.000
Nd 0.617 0.234 0.500
Nd 0.546 0.093 0.000
Nd 0.104 0.208 0.700
Nd 0.104 0.208 0.300


2:
## Tb3Pr4Nd4 (PBE)

Data for a relaxed Tb3Pr4Nd4 crystal.

## Properties
Symmetry: Immm, No. 71
V: 392.2 Å³/f.u.

Unit cell a=3.686 b=9.621 c=12.199 alpha=113.22 beta=98.69 gamma=90.00
Atoms (fractional coordinates):
Tb 0.893 0.893 0.786
Tb 0.107 0.107 0.214
Tb 0.000 0.500 0.000
Pr 0.738 0.238 0.477
Pr 0.262 0.762 0.523
Pr 0.500 0.813 0.000
Pr 0.500 0.187 0.000
Nd 0.643 0.468 0.286
Nd 0.357 0.183 0.714
Nd 0.357 0.532 0.714
Nd 0.643 0.817 0.286


The structure with the greatest stability is 2.